[1]
Ce2NdAs3 (PBE, relaxed); total DFT energy (no corrections) = -6.554 eV/atom; density of states at the Fermi level = 20.931 states/eV/cell; E_form = -1.4566 eV/atom; symmetry = No. 71
1.0
4.236 0.000 0.000
0.000 5.992 0.000
0.000 0.000 12.710
Ce Nd As
4 2 6
Direct
0.000 0.000 0.166
0.000 0.000 0.834
0.500 0.500 0.334
0.500 0.500 0.666
0.000 0.000 0.500
0.500 0.500 0.000
0.000 0.500 0.170
0.000 0.500 0.500
0.000 0.500 0.830
0.500 0.000 0.000
0.500 0.000 0.330
0.500 0.000 0.670


[2]
LiLuThCo (PBE, relaxed); total DFT energy (no corrections) = -5.274 eV/atom; density of states at the Fermi level = 13.432 states/eV/cell; E_form = -0.0338 eV/atom; symmetry = No. 216
1.0
6.922 0.000 0.000
0.000 6.922 0.000
0.000 0.000 6.922
Li Lu Th Co
4 4 4 4
Direct
0.000 0.000 0.000
0.000 0.500 0.500
0.500 0.000 0.500
0.500 0.500 0.000
0.250 0.250 0.250
0.250 0.750 0.750
0.750 0.250 0.750
0.750 0.750 0.250
0.250 0.250 0.750
0.250 0.750 0.250
0.750 0.250 0.250
0.750 0.750 0.750
0.000 0.000 0.500
0.000 0.500 0.000
0.500 0.000 0.000
0.500 0.500 0.500


[3]
Ce2PuC2I2 (PBE, relaxed); total DFT energy (no corrections) = -7.353 eV/atom; density of states at the Fermi level = 25.140 states/eV/cell; ΔE_f (raw) = -51 kJ per mole of atoms; symmetry = No. 139
1.0
4.438 0.000 0.000
0.000 4.438 0.000
0.000 0.000 19.461
Ce Pu C I
4 2 4 4
Direct
0.000 0.000 0.079
0.000 0.000 0.921
0.500 0.500 0.421
0.500 0.500 0.579
0.000 0.000 0.500
0.500 0.500 0.000
0.000 0.500 0.000
0.000 0.500 0.500
0.500 0.000 0.000
0.500 0.000 0.500
0.000 0.000 0.335
0.000 0.000 0.665
0.500 0.500 0.165
0.500 0.500 0.835


[4]
Zr3BiAs (PBE, relaxed); offset from the most stable computed form = 8.86 kcal/mol of atoms; total DFT energy (no corrections) = -6.885 eV/atom; density of states at the Fermi level = 9.239 states/eV/cell; E_form = -0.0497 eV/atom; symmetry = No. 221
1.0
5.057 0.000 0.000
0.000 5.057 0.000
0.000 0.000 5.057
Zr Bi As
3 1 1
Direct
0.000 0.000 0.500
0.000 0.500 0.000
0.500 0.000 0.000
0.500 0.500 0.500
0.000 0.000 0.000


[5]
Zr5Si3 (PBE, relaxed); offset from the most stable computed form = 9.23 kcal/mol of atoms; total DFT energy (no corrections) = -7.799 eV/atom; density of states at the Fermi level = 5.867 states/eV/cell; ΔE_f (raw) = -41 kJ per mole of atoms; symmetry = No. 6
1.0
6.369 0.000 0.000
0.000 3.756 0.000
-0.282 0.000 7.139
Zr Si
5 3
Direct
0.000 0.000 0.000
0.142 0.000 0.496
0.456 0.000 0.873
0.600 0.000 0.302
0.743 0.500 0.645
0.162 0.500 0.767
0.691 0.500 0.032
0.925 0.500 0.296


[6]
Tl2TcI (PBE, relaxed); offset from the most stable computed form = 2.71 kcal/mol of atoms; total DFT energy (no corrections) = -3.226 eV/atom; density of states at the Fermi level = 23.484 states/eV/cell; ΔE_f (raw) = 90 kJ per mole of atoms; symmetry = No. 225
1.0
7.854 0.000 0.000
0.000 7.854 0.000
0.000 0.000 7.854
Tl Tc I
8 4 4
Direct
0.250 0.250 0.250
0.250 0.250 0.750
0.250 0.750 0.250
0.250 0.750 0.750
0.750 0.250 0.250
0.750 0.250 0.750
0.750 0.750 0.250
0.750 0.750 0.750
0.000 0.000 0.000
0.000 0.500 0.500
0.500 0.000 0.500
0.500 0.500 0.000
0.000 0.000 0.500
0.000 0.500 0.000
0.500 0.000 0.000
0.500 0.500 0.500